The following is a DFT calculation (PBE) of a relaxed structure of Th4CoTe3.

a = 7.4221 Å, b = 7.8664 Å, c = 8.8654 Å
α = 90.00°, β = 90.00°, γ = 109.22°
Fractional coordinates of all 16 atoms:
Te1 0.7500 0.0000 0.3698
Te2 0.2500 0.0000 0.6302
Te3 0.7500 0.5000 0.6197
Te4 0.7500 0.5000 0.1309
Te5 0.2500 0.5000 0.3803
Te6 0.2500 0.5000 0.8691
Co1 0.7500 0.0000 0.8766
Co2 0.2500 0.0000 0.1234
Th1 0.9683 0.2176 0.6504
Th2 0.5096 0.2010 0.9002
Th3 0.4683 0.2176 0.3496
Th4 0.0096 0.2010 0.0998
Th5 0.9904 0.7990 0.9002
Th6 0.5317 0.7824 0.6504
Th7 0.4904 0.7990 0.0998
Th8 0.0317 0.7824 0.3496

Its density of states at the Fermi level is 5.6 states/eV/f.u. The calculation puts the formation energy without anion corrections at -896 meV per atom. For the energy relative to the lowest polymorph listed for this composition, the calculation gives 0.000 eV per atom.